## Er2SnSb (GGA-PBE)

Data for a geometry-optimized Er2SnSb structure.

Cell: 4.153 4.153 8.271 Å, 75.46 75.46 60.00°
Element x y z (fractional)
1 Er 0.255 0.255 0.235
2 Er 0.078 0.078 0.766
3 Sb 0.668 0.668 0.996
4 Sn 0.499 0.499 0.503

- Fermi-level density of states (states/eV/atom) = 0.305
- space group = No. 160
- polymorph energy (0 for the lowest one) (eV/atom) = 0.1798
- crystal system = trigonal
- volume (Å³/f.u.) = 118.2
- formation energy from raw total energies (eV/atom) = -0.703
- VASP energy (eV per atom) = -5.02